LiCuBiS2, relaxed, DFT PBE; total magnetization = 0.00 Bohr magnetons per cell; ΔE_f (raw) = -0.3854 eV/atom
1.0
6.152 0.000 0.000
0.000 5.084 0.000
-1.836 0.000 6.622
Li Cu Bi S
2 2 2 4
Direct
0.000 0.012 0.250
0.000 0.988 0.750
0.000 0.500 0.000
0.000 0.500 0.500
0.500 0.286 0.750
0.500 0.714 0.250
0.264 0.204 0.046
0.264 0.796 0.546
0.736 0.204 0.454
0.736 0.796 0.954

***

LiScCuBi, relaxed, DFT PBE; energy of formation = -0.281 eV per atom; total magnetization = 0.00 Bohr magnetons per cell
1.0
0.000 3.414 3.414
3.414 0.000 3.414
3.414 3.414 0.000
Li Sc Cu Bi
1 1 1 1
Direct
0.000 0.000 0.000
0.500 0.500 0.500
0.250 0.250 0.250
0.750 0.750 0.750

***

LiCu2BiSe, relaxed, DFT PBE; total magnetization = 0.00 Bohr magnetons per cell; ΔE_f (raw) = 0.5727 eV/atom
1.0
4.462 0.000 0.000
0.000 4.462 0.000
0.000 0.000 5.037
Li Cu Bi Se
1 2 1 1
Direct
0.000 0.000 0.000
0.000 0.500 0.000
0.500 0.000 0.000
0.000 0.000 0.500
0.500 0.500 0.500

***

LiCuSnBi, relaxed, DFT PBE; energy of formation = -0.036 eV per atom; total magnetization = 0.00 Bohr magnetons per cell
1.0
0.000 3.488 3.488
3.488 0.000 3.488
3.488 3.488 0.000
Li Cu Sn Bi
1 1 1 1
Direct
0.000 0.000 0.000
0.500 0.500 0.500
0.750 0.750 0.750
0.250 0.250 0.250

***

LiCuTc2Bi, relaxed, DFT PBE; energy of formation = 1.686 eV per atom; total magnetization = 4.71 Bohr magnetons per cell
1.0
5.180 0.000 0.000
0.000 5.180 0.000
0.000 0.000 4.949
Li Cu Tc Bi
1 1 2 1
Direct
0.000 0.000 0.000
0.500 0.500 0.000
0.000 0.500 0.500
0.500 0.000 0.500
0.500 0.500 0.500

***

Li2CuBiTe, relaxed, DFT PBE; total magnetization = 0.00 Bohr magnetons per cell; ΔE_f (raw) = -0.0169 eV/atom
1.0
5.064 0.000 0.000
0.000 5.064 0.000
0.000 0.000 5.014
Li Cu Bi Te
2 1 1 1
Direct
0.000 0.500 0.000
0.500 0.000 0.000
0.000 0.000 0.500
0.500 0.500 0.500
0.000 0.000 0.000

***

no.,V (Å³ per atom),density of states at the Fermi level (states/eV/atom)
1,20.7,0.336
2,19.9,0.366
3,20.1,0.370
4,21.2,0.457
5,26.6,0.779
6,25.7,0.916